The following is a DFT calculation (GGA-PBE) of a geometry-optimized YCO structure.

Values from the calculation:
For the density of states at the Fermi level, the calculation gives 4.90 states/eV/cell. The uncorrected formation energy is -410 kJ/mol of formula units. As for the space group: No. 62.

Cell lengths 7.896, 2.985, 6.359 Å; angles 90.00, 90.00, 90.00 degrees
Sites, in units of the cell vectors:
Y (0.152, 0.250, 0.174)
Y (0.348, 0.750, 0.674)
Y (0.652, 0.250, 0.326)
Y (0.848, 0.750, 0.826)
C (0.022, 0.750, 0.461)
C (0.478, 0.250, 0.961)
C (0.522, 0.750, 0.039)
C (0.978, 0.250, 0.539)
O (0.140, 0.750, 0.921)
O (0.360, 0.250, 0.421)
O (0.640, 0.750, 0.579)
O (0.860, 0.250, 0.079)